Here is an optimized crystal structure of PaAgRuO6 from the Alexandria database. Energies are from GGA-PBE.

abc: 8.0706 7.2562 7.7000
angles: 118.11 121.61 90.00
With the nearest neighbours (Å) after each atom.
Element x y z (fractional)
O: 0.5504 0.9250 0.7585  1 Ru 1.94, 1 Pa 2.14
O: 0.8384 0.0884 0.6768  1 Ag 2.17, 2 Pa 2.24
O: 0.4496 0.6666 0.2415  1 Ru 1.94, 1 Pa 2.14
O: 0.2081 0.3334 0.7585  1 Ru 1.94, 1 Pa 2.14
O: 0.5400 0.2900 0.0800  2 Ru 1.87
O: 0.4496 0.0750 0.2415  1 Ru 1.94, 1 Pa 2.14
O: 0.2081 0.9250 0.7585  1 Ru 1.94, 1 Pa 2.14
O: 0.1616 0.9116 0.3232  1 Ag 2.17, 2 Pa 2.24
O: 0.4600 0.7100 0.9200  2 Ru 1.87
O: 0.5504 0.3334 0.7585  1 Ru 1.94, 1 Pa 2.14
O: 0.7919 0.6666 0.2415  1 Ru 1.94, 1 Pa 2.14
O: 0.7919 0.0750 0.2415  1 Ru 1.94, 1 Pa 2.14
Ru: 0.5000 0.0000 0.0000  6 O 1.87-1.94
Ru: 0.5000 0.5000 0.0000  6 O 1.87-1.94
Ag: 0.9632 0.7132 0.9265  1 O 2.17
Ag: 0.0368 0.2868 0.0735  1 O 2.17
Pa: 0.0000 0.0000 0.5000  6 O 2.14-2.24
Pa: 0.5000 0.0000 0.5000  6 O 2.14-2.24

Summary:
**E_tot**: -7.26 eV/atom
**DOS at the Fermi energy**: 10.904 states/eV/cell
**M_tot**: 2.3 μB/cell
**Formation energy without anion corrections**: -1.554 eV/atom

=====

Here is an optimized crystal structure of PaAg2RuO8 from the Alexandria database. Energies are from GGA-PBE.

abc: 6.1056 6.1056 5.7955
angles: 90.00 90.00 120.00
With the nearest neighbours (Å) after each atom.
Element x y z (fractional)
O: 0.8582 0.1418 0.7789  1 Ru 1.97, 1 Pa 2.20
O: 0.1418 0.2835 0.2211  1 Ru 1.97, 1 Pa 2.20
O: 0.7165 0.8582 0.2211  1 Ru 1.97, 1 Pa 2.20
O: 0.8582 0.7165 0.7789  1 Ru 1.97, 1 Pa 2.20
O: 0.2835 0.1418 0.7789  1 Ru 1.97, 1 Pa 2.20
O: 0.1418 0.8582 0.2211  1 Ru 1.97, 1 Pa 2.20
O: 0.3333 0.6667 0.6961  1 Ag 2.04
O: 0.6667 0.3333 0.3039  1 Ag 2.04
Ag: 0.3333 0.6667 0.0472  4 O 2.04-2.26
Ag: 0.6667 0.3333 0.9528  4 O 2.04-2.26
Pa: 0.0000 0.0000 0.5000  6 O 2.20
Ru: 0.0000 0.0000 0.0000  6 O 1.97

Summary:
**E_tot**: -6.18 eV/atom
**DOS at the Fermi energy**: 5.492 states/eV/cell
**M_tot**: 1.1 μB/cell
**Formation energy without anion corrections**: -0.830 eV/atom

=====

Here is an optimized crystal structure of PaAg2SO6 from the Alexandria database. Energies are from GGA-PBE.

abc: 5.7530 6.0437 7.7179
angles: 61.33 57.60 44.16
With the nearest neighbours (Å) after each atom.
Element x y z (fractional)
Pa: 0.8095 0.8952 0.4931  2 O 2.01-2.15
O: 0.1806 0.0443 0.2563  1 S 1.53
O: 0.5742 0.1556 0.1799  1 S 1.52
O: 0.9400 0.5404 0.3201  1 S 1.49
O: 0.8137 0.9431 0.7492  1 Pa 2.15, 2 Ag 2.24-2.27
O: 0.5306 0.7392 0.7074  1 Pa 2.01
O: 0.3408 0.4224 0.5108  1 Ag 2.17, 2 Pa 2.25-2.27
Ag: 0.2831 0.4345 0.8085  3 O 2.17-2.27
Ag: 0.9624 0.1868 0.8142  4 O 2.29-2.52
S: 0.2266 0.3001 0.1758  3 O 1.49-1.53

Summary:
**E_tot**: -6.46 eV/atom
**DOS at the Fermi energy**: 1.259 states/eV/cell
**M_tot**: 0.0 μB/cell
**Formation energy without anion corrections**: -1.551 eV/atom

=====

Here is an optimized crystal structure of Pa3AgS2O6 from the Alexandria database. Energies are from GGA-PBE.

abc: 5.8145 7.5999 7.1566
angles: 122.07 76.33 90.00
With the nearest neighbours (Å) after each atom.
Element x y z (fractional)
S: 0.7688 0.3254 0.6508  3 Pa 2.77-2.81, 1 O 3.05
S: 0.2312 0.6746 0.3492  3 Pa 2.77-2.81, 1 O 3.05
Pa: 0.5000 0.5000 0.5000  4 O 2.11-2.19
Pa: 0.0000 0.5000 0.0000  4 O 2.13
Pa: 0.5000 0.0000 0.5000  4 O 2.11-2.19
O: 0.5842 0.8189 0.6379  1 Ag 2.11, 2 Pa 2.19
O: 0.4158 0.1811 0.3621  1 Ag 2.11, 2 Pa 2.19
O: 0.2280 0.6002 0.8044  2 Pa 2.11-2.13
O: 0.2280 0.2042 0.8044  2 Pa 2.11-2.13
O: 0.7720 0.3998 0.1956  2 Pa 2.11-2.13
O: 0.7720 0.7958 0.1956  2 Pa 2.11-2.13
Ag: 0.5000 0.0000 0.0000  2 O 2.11

Summary:
**E_tot**: -8.43 eV/atom
**DOS at the Fermi energy**: 0.000 states/eV/cell
**M_tot**: 0.0 μB/cell
**Formation energy without anion corrections**: -2.653 eV/atom